# SrCd3Sn3

A relaxed structure of SrCd3Sn3 (PBE-GGA, the Alexandria database).

```
SrCd3Sn3
1.0
7.9281 0.0000 0.0000
0.0000 7.9281 0.0000
0.0000 0.0000 7.9281
Sr Cd Sn
2 6 6
Direct
0.0000 0.0000 0.0000
0.5000 0.5000 0.5000
0.0000 0.2500 0.5000
0.0000 0.7500 0.5000
0.2500 0.5000 0.0000
0.5000 0.0000 0.2500
0.5000 0.0000 0.7500
0.7500 0.5000 0.0000
0.0000 0.5000 0.2500
0.0000 0.5000 0.7500
0.2500 0.0000 0.5000
0.5000 0.2500 0.0000
0.5000 0.7500 0.0000
0.7500 0.0000 0.5000
```

Electronic total energy in eV/atom: -2.2414
Energy above the lowest structure with this stoichiometry in meV/atom: 264
Energy of formation from the pure elements in meV/atom: 106.6